# 1
# La8AsOs3Cl4 PBE relaxed
# uncorrected energy = -6.43 eV per atom
# DOS(E_F) = 0.75 states/eV per atom
data_La8AsOs3Cl4
_chemical_formula_sum 'La24 As3 Os9 Cl12'
_space_group_name_H-M_alt 'R -3 m'
_space_group_IT_number 166
_space_group_name_Hall '-R 3 2"'
_cell_length_a 8.4818
_cell_length_b 8.4818
_cell_length_c 22.4838
_cell_angle_alpha 90.00
_cell_angle_beta 90.00
_cell_angle_gamma 120.00
loop_
_atom_site_label
_atom_site_type_symbol
_atom_site_fract_x
_atom_site_fract_y
_atom_site_fract_z
_atom_site_occupancy
La1 La 0.0000 0.0000 0.2381 1
La2 La 0.0169 0.5084 0.7653 1
As1 As 0.0000 0.0000 0.5000 1
Os1 Os 0.0000 0.5000 0.5000 1
Cl1 Cl 0.0000 0.0000 0.0000 1
Cl2 Cl 0.0000 0.5000 0.0000 1



# 2
# La6AsOs2Cl3 PBE relaxed
# uncorrected energy = -6.38 eV per atom
# DOS(E_F) = 0.47 states/eV per atom
data_La6AsOs2Cl3
_chemical_formula_sum 'La12 As2 Os4 Cl6'
_space_group_name_H-M_alt 'C 1 2/m 1'
_space_group_IT_number 12
_space_group_name_Hall '-C 2y'
_cell_length_a 19.151
_cell_length_b 4.235
_cell_length_c 9.030
_cell_angle_alpha 90.00
_cell_angle_beta 106.83
_cell_angle_gamma 90.00
loop_
_atom_site_label
_atom_site_type_symbol
_atom_site_fract_x
_atom_site_fract_y
_atom_site_fract_z
_atom_site_occupancy
La1 La 0.018 0.000 0.247 1
La2 La 0.166 0.500 0.126 1
La3 La 0.176 0.500 0.562 1
As1 As 0.000 0.500 0.000 1
Os1 Os 0.166 0.000 0.337 1
Cl1 Cl 0.000 0.500 0.500 1
Cl2 Cl 0.162 0.000 0.843 1



# 3
# La6As3PCl2 PBE relaxed
# uncorrected energy = -6.06 eV per atom
# DOS(E_F) = 0.55 states/eV per atom
data_La6As3PCl2
_chemical_formula_sum 'La12 As6 P2 Cl4'
_space_group_name_H-M_alt 'C 1 2/m 1'
_space_group_IT_number 12
_space_group_name_Hall '-C 2y'
_cell_length_a 7.486
_cell_length_b 12.985
_cell_length_c 7.400
_cell_angle_alpha 90.00
_cell_angle_beta 109.67
_cell_angle_gamma 90.00
loop_
_atom_site_label
_atom_site_type_symbol
_atom_site_fract_x
_atom_site_fract_y
_atom_site_fract_z
_atom_site_occupancy
La1 La 0.233 0.000 0.243 1
La2 La 0.245 0.159 0.757 1
As1 As 0.000 0.170 0.000 1
As2 As 0.000 0.500 0.000 1
P1 P 0.000 0.000 0.500 1
Cl1 Cl 0.000 0.334 0.500 1



# 4
# La6As2P3Cl PBE relaxed
# uncorrected energy = -6.41 eV per atom
# DOS(E_F) = 0.36 states/eV per atom
data_La6As2P3Cl
_chemical_formula_sum 'La12 As4 P6 Cl2'
_space_group_name_H-M_alt 'C 1 2/m 1'
_space_group_IT_number 12
_space_group_name_Hall '-C 2y'
_cell_length_a 18.761
_cell_length_b 4.290
_cell_length_c 8.630
_cell_angle_alpha 90.00
_cell_angle_beta 103.71
_cell_angle_gamma 90.00
loop_
_atom_site_label
_atom_site_type_symbol
_atom_site_fract_x
_atom_site_fract_y
_atom_site_fract_z
_atom_site_occupancy
La1 La 0.002 0.000 0.232 1
La2 La 0.166 0.500 0.086 1
La3 La 0.172 0.500 0.581 1
As1 As 0.164 0.000 0.828 1
P1 P 0.000 0.500 0.000 1
P2 P 0.165 0.000 0.335 1
Cl1 Cl 0.000 0.500 0.500 1



# 5
# LaAsPCl2 PBE relaxed
# excess energy over the best structure of this formula in the dataset = 0.0 meV/atom
# DOS(E_F) = 0.71 states/eV per atom
data_LaAsPCl2
_chemical_formula_sum 'La1 As1 P1 Cl2'
_space_group_name_H-M_alt 'P 4/m m m'
_space_group_IT_number 123
_space_group_name_Hall '-P 4 2'
_cell_length_a 4.855
_cell_length_b 4.855
_cell_length_c 5.274
_cell_angle_alpha 90.00
_cell_angle_beta 90.00
_cell_angle_gamma 90.00
loop_
_atom_site_label
_atom_site_type_symbol
_atom_site_fract_x
_atom_site_fract_y
_atom_site_fract_z
_atom_site_occupancy
La1 La 0.000 0.000 0.000 1
As1 As 0.500 0.500 0.500 1
P1 P 0.500 0.500 0.000 1
Cl1 Cl 0.000 0.500 0.500 1



# 6
# LaAsP2Cl PBE relaxed
# excess energy over the best structure of this formula in the dataset = 0.0 meV/atom
# DOS(E_F) = 0.30 states/eV per atom
data_LaAsP2Cl
_chemical_formula_sum 'La1 As1 P2 Cl1'
_space_group_name_H-M_alt 'P 4/m m m'
_space_group_IT_number 123
_space_group_name_Hall '-P 4 2'
_cell_length_a 4.823
_cell_length_b 4.823
_cell_length_c 4.924
_cell_angle_alpha 90.00
_cell_angle_beta 90.00
_cell_angle_gamma 90.00
loop_
_atom_site_label
_atom_site_type_symbol
_atom_site_fract_x
_atom_site_fract_y
_atom_site_fract_z
_atom_site_occupancy
La1 La 0.000 0.000 0.000 1
As1 As 0.500 0.500 0.500 1
P1 P 0.000 0.500 0.500 1
Cl1 Cl 0.500 0.500 0.000 1



# 7
# La4AsP2Cl PBE relaxed
# uncorrected energy = -6.29 eV per atom
# DOS(E_F) = 0.29 states/eV per atom
data_La4AsP2Cl
_chemical_formula_sum 'La8 As2 P4 Cl2'
_space_group_name_H-M_alt 'I 4/m m m'
_space_group_IT_number 139
_space_group_name_Hall '-I 4 2'
_cell_length_a 6.038
_cell_length_b 6.038
_cell_length_c 12.087
_cell_angle_alpha 90.00
_cell_angle_beta 90.00
_cell_angle_gamma 90.00
loop_
_atom_site_label
_atom_site_type_symbol
_atom_site_fract_x
_atom_site_fract_y
_atom_site_fract_z
_atom_site_occupancy
La1 La 0.000 0.000 0.245 1
La2 La 0.000 0.500 0.000 1
As1 As 0.000 0.000 0.000 1
P1 P 0.000 0.500 0.250 1
Cl1 Cl 0.000 0.000 0.500 1



# 8
# LaAsP2Cl PBE relaxed
# excess energy over the best structure of this formula in the dataset = 819.5 meV/atom
# DOS(E_F) = 1.09 states/eV per atom
data_LaAsP2Cl
_chemical_formula_sum 'La1 As1 P2 Cl1'
_space_group_name_H-M_alt 'P 4/m m m'
_space_group_IT_number 123
_space_group_name_Hall '-P 4 2'
_cell_length_a 5.637
_cell_length_b 5.637
_cell_length_c 5.252
_cell_angle_alpha 90.00
_cell_angle_beta 90.00
_cell_angle_gamma 90.00
loop_
_atom_site_label
_atom_site_type_symbol
_atom_site_fract_x
_atom_site_fract_y
_atom_site_fract_z
_atom_site_occupancy
La1 La 0.000 0.000 0.000 1
As1 As 0.500 0.500 0.500 1
P1 P 0.000 0.500 0.000 1
Cl1 Cl 0.000 0.000 0.500 1



# 9
# La4As2PCl PBE relaxed
# uncorrected energy = -6.20 eV per atom
# DOS(E_F) = 0.41 states/eV per atom
data_La4As2PCl
_chemical_formula_sum 'La4 As2 P1 Cl1'
_space_group_name_H-M_alt 'P 1 2/m 1'
_space_group_IT_number 10
_space_group_name_Hall '-P 2y'
_cell_length_a 7.415
_cell_length_b 4.317
_cell_length_c 7.485
_cell_angle_alpha 90.00
_cell_angle_beta 109.43
_cell_angle_gamma 90.00
loop_
_atom_site_label
_atom_site_type_symbol
_atom_site_fract_x
_atom_site_fract_y
_atom_site_fract_z
_atom_site_occupancy
La1 La 0.243 0.000 0.236 1
La2 La 0.252 0.500 0.760 1
As1 As 0.000 0.000 0.500 1
As2 As 0.000 0.500 0.000 1
P1 P 0.500 0.000 0.000 1
Cl1 Cl 0.500 0.500 0.500 1



# 10
# La8As3PCl4 PBE relaxed
# uncorrected energy = -5.81 eV per atom
# DOS(E_F) = 0.42 states/eV per atom
data_La8As3PCl4
_chemical_formula_sum 'La24 As9 P3 Cl12'
_space_group_name_H-M_alt 'R -3 m'
_space_group_IT_number 166
_space_group_name_Hall '-R 3 2"'
_cell_length_a 8.6164
_cell_length_b 8.6164
_cell_length_c 20.7434
_cell_angle_alpha 90.00
_cell_angle_beta 90.00
_cell_angle_gamma 120.00
loop_
_atom_site_label
_atom_site_type_symbol
_atom_site_fract_x
_atom_site_fract_y
_atom_site_fract_z
_atom_site_occupancy
La1 La 0.0000 0.0000 0.2453 1
La2 La 0.0119 0.5060 0.2432 1
As1 As 0.0000 0.5000 0.5000 1
P1 P 0.0000 0.0000 0.5000 1
Cl1 Cl 0.0000 0.0000 0.0000 1
Cl2 Cl 0.0000 0.5000 0.0000 1



# 11
# La6AsP3Cl2 PBE relaxed
# uncorrected energy = -6.22 eV per atom
# DOS(E_F) = 0.50 states/eV per atom
data_La6AsP3Cl2
_chemical_formula_sum 'La12 As2 P6 Cl4'
_space_group_name_H-M_alt 'C 1 2/m 1'
_space_group_IT_number 12
_space_group_name_Hall '-C 2y'
_cell_length_a 7.346
_cell_length_b 12.738
_cell_length_c 7.498
_cell_angle_alpha 90.00
_cell_angle_beta 109.08
_cell_angle_gamma 90.00
loop_
_atom_site_label
_atom_site_type_symbol
_atom_site_fract_x
_atom_site_fract_y
_atom_site_fract_z
_atom_site_occupancy
La1 La 0.234 0.000 0.229 1
La2 La 0.247 0.338 0.228 1
As1 As 0.000 0.000 0.500 1
P1 P 0.000 0.168 0.000 1
P2 P 0.000 0.500 0.000 1
Cl1 Cl 0.000 0.333 0.500 1



# 12
# La8AsP3Cl4 PBE relaxed
# uncorrected energy = -5.94 eV per atom
# DOS(E_F) = 0.37 states/eV per atom
data_La8AsP3Cl4
_chemical_formula_sum 'La24 As3 P9 Cl12'
_space_group_name_H-M_alt 'R -3 m'
_space_group_IT_number 166
_space_group_name_Hall '-R 3 2"'
_cell_length_a 8.5167
_cell_length_b 8.5167
_cell_length_c 20.8668
_cell_angle_alpha 90.00
_cell_angle_beta 90.00
_cell_angle_gamma 120.00
loop_
_atom_site_label
_atom_site_type_symbol
_atom_site_fract_x
_atom_site_fract_y
_atom_site_fract_z
_atom_site_occupancy
La1 La 0.0000 0.0000 0.2405 1
La2 La 0.0096 0.5048 0.7581 1
As1 As 0.0000 0.0000 0.5000 1
P1 P 0.0000 0.5000 0.5000 1
Cl1 Cl 0.0000 0.0000 0.0000 1
Cl2 Cl 0.0000 0.5000 0.0000 1